(1)
HgAu2Cl: relaxed, PBE-GGA.

As for the energy relative to the lowest polymorph listed for this composition: 20.4 kJ per mole of atoms. As for the total energy: -1.9978 eV/atom. Its crystal system is tetragonal.

a = 3.8719 Å, b = 3.8719 Å, c = 12.0638 Å
α = 90.00°, β = 90.00°, γ = 90.00°
Space group I-4m2 (No. 119)
One atom of each set of equivalent atoms:
Hg1 0.0000 0.0000 0.0000 x2
Au1 0.0000 0.0000 0.5000 x2
Au2 0.0000 0.5000 0.7500 x2
Cl1 0.0000 0.5000 0.2500 x2

(2)
KAgCl3: relaxed, PBE-GGA.

As for the total energy: -2.8315 eV/atom. Its crystal system is trigonal.

a = 7.0721 Å, b = 7.0721 Å, c = 20.3252 Å
α = 90.00°, β = 90.00°, γ = 120.00°
Space group R-3 (No. 148, hexagonal axes)
One atom of each set of equivalent atoms:
K1 0.0000 0.0000 0.1357 x6
Ag1 0.0000 0.0000 0.3380 x6
Cl1 0.0093 0.6048 0.9255 x18

(3)
InMo2Br: relaxed, PBE-GGA.

As for the energy relative to the lowest polymorph listed for this composition: 19.9 kJ per mole of atoms. As for the total energy: -6.0470 eV/atom. Its crystal system is orthorhombic.

a = 3.2883 Å, b = 4.7798 Å, c = 11.9557 Å
α = 90.00°, β = 90.00°, γ = 90.00°
Space group Imm2 (No. 44)
One atom of each set of equivalent atoms:
In1 0.0000 0.0000 0.0000 x2
Mo1 0.0000 0.0000 0.5204 x2
Mo2 0.0000 0.5000 0.8747 x2
Br1 0.0000 0.5000 0.2302 x2

(4)
Pr6ErSe8: relaxed, PBE-GGA.

As for the total energy: -5.9454 eV/atom. Its crystal system is cubic.

a = 12.0010 Å, b = 12.0010 Å, c = 12.0010 Å
α = 90.00°, β = 90.00°, γ = 90.00°
Space group Fm-3m (No. 225)
One atom of each set of equivalent atoms:
Pr1 0.0000 0.2500 0.2500 x24
Er1 0.0000 0.0000 0.0000 x4
Se1 0.0000 0.0000 0.2421 x24
Se2 0.2500 0.2500 0.2500 x8

(5)
Pr8Mg2Ir: relaxed, PBE-GGA.

As for the total energy: -4.6838 eV/atom. Its crystal system is monoclinic. As for the energy of formation from the pure elements: -0.112 eV/atom.

a = 18.1800 Å, b = 5.6585 Å, c = 7.2584 Å
α = 90.00°, β = 110.06°, γ = 90.00°
Space group C2/m (No. 12)
One atom of each set of equivalent atoms:
Pr1 0.0139 0.0000 0.2830 x4
Pr2 0.0978 0.5000 0.9074 x4
Pr3 0.1480 0.5000 0.4320 x4
Pr4 0.1983 0.0000 0.7610 x4
Mg1 0.1818 0.0000 0.1937 x4
Ir1 0.0000 0.5000 0.5000 x2

(6)
TaCdSeBr2: relaxed, PBE-GGA.

As for the energy relative to the lowest polymorph listed for this composition: 100.9 kJ per mole of atoms. As for the total energy: -3.0643 eV/atom. Its crystal system is tetragonal.

a = 5.2221 Å, b = 5.2221 Å, c = 5.4255 Å
α = 90.00°, β = 90.00°, γ = 90.00°
Space group P4/mmm (No. 123)
One atom of each set of equivalent atoms:
Ta1 0.0000 0.0000 0.0000 x1
Cd1 0.5000 0.5000 0.5000 x1
Se1 0.5000 0.5000 0.0000 x1
Br1 0.0000 0.5000 0.5000 x2

(7)
Sc3InP: relaxed, PBE-GGA.

As for the energy relative to the lowest polymorph listed for this composition: 119.7 kJ per mole of atoms. As for the total energy: -4.9357 eV/atom. Its crystal system is cubic. As for the energy of formation from the pure elements: 0.493 eV/atom.

a = 5.2357 Å, b = 5.2357 Å, c = 5.2357 Å
α = 90.00°, β = 90.00°, γ = 90.00°
Space group Pm-3m (No. 221)
One atom of each set of equivalent atoms:
Sc1 0.0000 0.0000 0.5000 x3
In1 0.0000 0.0000 0.0000 x1
P1 0.5000 0.5000 0.5000 x1

(8)
Zn3SiW: relaxed, PBE-GGA.

As for the energy relative to the lowest polymorph listed for this composition: 5.1 kJ per mole of atoms. As for the total energy: -3.0421 eV/atom. Its crystal system is cubic.

a = 4.8830 Å, b = 4.8830 Å, c = 4.8830 Å
α = 90.00°, β = 90.00°, γ = 90.00°
Space group Pm-3m (No. 221)
One atom of each set of equivalent atoms:
Zn1 0.0000 0.0000 0.5000 x3
Si1 0.5000 0.5000 0.5000 x1
W1 0.0000 0.0000 0.0000 x1